The following is a PBE+U calculation of crystalline ThTaCoO6 at its relaxed geometry, from Alexandria via LeMat-Bulk.

POSCAR file:
```
ThTaCoO6
1.0
4.903 0.000 0.000
0.000 4.903 0.000
0.000 0.000 9.852
Th Ta Co O
2 2 2 12
direct
0.000 0.000 0.000
0.500 0.500 0.500
0.000 0.000 0.662
0.500 0.500 0.162
0.000 0.000 0.328
0.500 0.500 0.828
0.175 0.175 0.497
0.209 0.209 0.804
0.214 0.214 0.176
0.286 0.714 0.676
0.291 0.709 0.304
0.325 0.675 0.997
0.675 0.325 0.997
0.709 0.291 0.304
0.714 0.286 0.676
0.786 0.786 0.176
0.791 0.791 0.804
0.825 0.825 0.497
```

Results
Calculated total energy ... -8.522 eV/atom
Crystal system ... tetragonal
Total magnetic moment ... 4.02 μB per formula unit
Density ... 7.963 g/cm³